# 1
Below is a relaxed Rb3Cd2I2Br5 crystal, with properties calculated at the GGA-PBE level.

Output
As for the crystal system: tetragonal. The total energy comes out at -30.83 eV/cell. Its spin magnetization is 0.00 μB/cell. For the volume, the calculation gives 461 Å³/cell. Its space-group type is I4/mmm (139). Its formation energy (no corrections) is -14.64 eV/f.u.

Structure (POSCAR):
```
Rb3Cd2I2Br5
1.0
5.635 0.000 0.000
0.000 5.635 0.000
-2.817 -2.817 14.517
Rb Cd I Br
3 2 2 5
Cartesian
0.000 0.000 4.994
2.817 2.817 9.523
0.000 0.000 0.000
0.000 0.000 11.687
2.817 2.817 2.831
2.817 2.817 5.727
0.000 0.000 8.790
2.817 0.000 2.651
0.000 2.817 11.866
0.000 2.817 2.651
2.817 0.000 11.866
2.817 2.817 0.000
```

=====

# 2
Below is a relaxed Nd2YEr6Tm crystal, with properties calculated at the GGA-PBE level.

Output
As for the crystal system: monoclinic. The total energy comes out at -93.41 eV/cell. Its spin magnetization is 0.00 μB/cell. For the volume, the calculation gives 639 Å³/cell. Its space-group type is C2/c (15). As for the formation energy: 0.11 eV per atom.

Structure (POSCAR):
```
Nd2YEr6Tm
1.0
9.113 -2.128 -2.209
0.766 8.467 -2.027
0.766 -2.339 8.386
Nd Y Er Tm
4 2 12 2
Cartesian
5.315 4.212 3.219
0.773 2.003 0.926
5.330 -0.213 0.932
9.872 1.997 3.225
3.044 7.739 -2.390
7.601 -3.739 6.540
1.190 -0.786 5.859
4.897 -0.820 5.823
9.454 4.785 -1.708
5.747 4.820 -1.672
3.921 6.625 0.892
2.167 4.418 -1.399
6.724 -2.625 3.259
8.477 -0.418 5.549
2.004 4.586 2.477
4.083 2.758 0.580
8.640 -0.586 1.673
6.561 1.242 3.571
3.044 1.528 3.594
7.601 2.471 0.556
```

=====

# 3
Below is a relaxed YbLuTl2 crystal, with properties calculated at the GGA-PBE level.

Output
As for the crystal system: cubic. The total energy comes out at -12.21 eV/cell. Its spin magnetization is 0.17 μB/cell. For the volume, the calculation gives 109 Å³/cell. Its space-group type is Fm-3m (225). As for the formation energy: -0.36 eV per atom.

Structure (POSCAR):
```
YbLuTl2
1.0
-1.339 4.250 2.992
0.891 -0.056 5.293
3.831 3.111 2.110
Tl Lu Yb
2 1 1
Cartesian
0.846 1.826 2.599
2.538 5.478 7.796
1.692 3.652 5.197
0.000 0.000 0.000
```

=====

# 4
Below is a relaxed Ce4ScTl2 crystal, with properties calculated at the GGA-PBE level.

Output
As for the crystal system: monoclinic. The total energy comes out at -35.28 eV/cell. Its spin magnetization is 2.57 μB/cell. For the volume, the calculation gives 196 Å³/cell. Its space-group type is Cm (8). As for the formation energy: -0.07 eV per atom.

Structure (POSCAR):
```
Ce4ScTl2
1.0
-4.716 3.781 2.186
-2.614 -5.004 3.073
6.431 1.648 1.088
Ce Sc Tl
4 1 2
Cartesian
1.492 0.408 0.505
4.581 1.334 2.358
-3.833 1.234 2.421
-2.979 -2.338 2.782
-1.831 0.036 4.697
0.390 -1.588 3.331
-0.514 2.192 2.949
```

=====

# 5
Below is a relaxed Ce3GaGe3 crystal, with properties calculated at the GGA-PBE level.

Output
As for the crystal system: hexagonal. The total energy comes out at -76.44 eV/cell. Its spin magnetization is 3.37 μB/cell. For the volume, the calculation gives 380 Å³/cell. Its space-group type is P6_3/m (176). As for the formation energy: -0.51 eV per atom.

Structure (POSCAR):
```
Ce3GaGe3
1.0
5.939 0.000 0.000
0.000 8.592 0.000
0.000 -4.296 7.441
Ce Ga Ge
6 2 6
Cartesian
4.454 3.310 4.521
4.454 3.021 0.606
4.454 6.556 2.314
1.485 0.986 2.919
1.485 1.274 6.835
1.485 -2.261 5.127
1.485 4.296 2.480
4.454 0.000 4.960
1.485 3.371 4.827
1.485 2.726 0.506
1.485 6.790 2.108
4.454 0.925 2.614
4.454 1.570 6.935
4.454 -2.495 5.332
```

=====

# 6
Below is a relaxed RbSnAu2 crystal, with properties calculated at the GGA-PBE level.

Output
As for the crystal system: tetragonal. The total energy comes out at -24.46 eV/cell. Its spin magnetization is 0.00 μB/cell. For the volume, the calculation gives 290 Å³/cell. Its space-group type is I4_1/amd (141). As for the formation energy: -0.18 eV per atom.

Structure (POSCAR):
```
RbSnAu2
1.0
5.635 0.000 0.000
0.000 5.635 0.000
2.818 2.818 9.133
Au Sn Rb
4 2 2
Cartesian
5.636 1.409 2.283
5.634 4.226 2.283
4.226 2.816 6.849
7.044 2.819 6.849
0.000 0.000 0.000
5.635 2.818 4.566
2.818 2.818 0.000
2.818 5.635 4.566
```